The following is a DFT calculation (PBE) of an optimized crystal structure of Sm3Ge4Rh7.

Calculated values
Symmetry: C2/m (12)
DOS at the Fermi energy in states/eV/atom: 0.433
Energy of formation from the pure elements in eV/atom: -0.844
Magnetic moment in μB per formula unit: 0.00

extended XYZ file:
```
14
Lattice="7.773 -2.053 0.000 7.773 2.053 0.000 -5.455 0.000 7.730" Properties=species:S:1:pos:R:3 pbc="T T T"
Sm 0.000 0.000 0.000
Sm 3.308 0.000 2.586
Sm 6.782 0.000 5.144
Ge -2.806 0.000 6.465
Ge 1.262 0.000 5.579
Ge 8.829 0.000 2.151
Ge 12.896 0.000 1.265
Rh -2.728 0.000 3.865
Rh 0.199 0.000 3.271
Rh -0.466 0.000 7.403
Rh 3.740 0.000 5.584
Rh 6.350 0.000 2.146
Rh 10.556 0.000 0.327
Rh 9.892 0.000 4.459
```